14
Lattice="6.733 0.000 0.000 0.000 6.733 0.000 0.000 0.000 6.733" Properties=species:S:1:pos:R:3 comment="GGA-PBE PaGe3Ir3, relaxed" volume_a3_per_atom=21.8 dft_energy_ev_per_atom=-6.990 pbc="T T T"
Ge 3.366 0.000 5.050
Ge 0.000 1.683 3.366
Ge 0.000 5.050 3.366
Ge 3.366 0.000 1.683
Ge 5.050 3.366 0.000
Ge 1.683 3.366 0.000
Ir 0.000 3.366 1.683
Ir 5.050 0.000 3.366
Ir 3.366 1.683 0.000
Ir 1.683 0.000 3.366
Ir 3.366 5.050 0.000
Ir 0.000 3.366 5.050
Pa 0.000 0.000 0.000
Pa 3.366 3.366 3.366